## MnTlF3 (GGA+U)

Data for a relaxed MnTlF3 crystal.

abc: 23.3953 5.6610 7.7992
angles: 90.00 160.65 90.00
Last column: magnetic moment on the atom in μB.
Atoms (fractional coordinates):
F: 0.6722 0.0733 0.9645  0.05
F: 0.4489 0.4164 0.5140  0.04
F: 0.5511 0.5836 0.4860  0.04
F: 0.4268 0.1463 0.9493  0.02
Mn: 0.5734 0.7458 0.7984  4.69
Tl: 0.1665 0.2290 0.8850  0.00
Mn: 0.0734 0.7542 0.2984  4.69
Tl: 0.6665 0.2710 0.3850  0.00
F: 0.9268 0.3537 0.4493  0.02
Mn: 0.4266 0.2542 0.2016  4.69
Tl: 0.8335 0.7710 0.1150  0.00
F: 0.5732 0.8537 0.0507  0.02
F: 0.3278 0.9267 0.0355  0.05
Mn: 0.9266 0.2458 0.7016  4.69
F: 0.1722 0.4267 0.4645  0.05
F: 0.0511 0.9164 0.9860  0.04
F: 0.8278 0.5733 0.5355  0.05
F: 0.9489 0.0836 0.0140  0.04
F: 0.0732 0.6463 0.5507  0.02
Tl: 0.3335 0.7290 0.6150  0.00

Output
D(E_F)	0.0	states/eV/cell
space-group type	P2_1/c (14)
spin magnetization	20.00	μB per cell
calculated total energy	-108.2	eV for the cell shown